[1]
# CaSbPb, relaxed, DFT GGA-PBE
data_CaSbPb
_cell_length_a 7.552
_cell_length_b 7.552
_cell_length_c 7.552
_cell_angle_alpha 90.00
_cell_angle_beta 90.00
_cell_angle_gamma 90.00
_symmetry_space_group_name_H-M 'F -4 3 m'
_symmetry_Int_Tables_number 216
_symmetry_space_group_name_Hall 'F -4 2 3'
loop_
_atom_site_label
_atom_site_type_symbol
_atom_site_fract_x
_atom_site_fract_y
_atom_site_fract_z
_atom_site_occupancy
Ca1 Ca 0.000 0.000 0.000 1
Sb1 Sb 0.250 0.250 0.250 1
Pb1 Pb 0.000 0.000 0.500 1
# Total DFT energy (no corrections) in eV per cell: -43.812
# DOS(E_F) in states/eV/atom: 0.680
# Size of the total moment in μB per formula unit: 0.0
# Energy relative to the lowest polymorph listed for this composition in meV per atom: 131.3
# E_form (uncorrected) in eV/f.u.: -1.121



[2]
# CaSbPb3, relaxed, DFT GGA-PBE
data_CaSbPb3
_cell_length_a 5.900
_cell_length_b 5.900
_cell_length_c 5.900
_cell_angle_alpha 90.00
_cell_angle_beta 90.00
_cell_angle_gamma 90.00
_symmetry_space_group_name_H-M 'P m -3 m'
_symmetry_Int_Tables_number 221
_symmetry_space_group_name_Hall '-P 4 2 3'
loop_
_atom_site_label
_atom_site_type_symbol
_atom_site_fract_x
_atom_site_fract_y
_atom_site_fract_z
_atom_site_occupancy
Ca1 Ca 0.000 0.000 0.000 1
Sb1 Sb 0.500 0.500 0.500 1
Pb1 Pb 0.000 0.500 0.500 1
# Total DFT energy (no corrections) in eV per cell: -15.662
# DOS(E_F) in states/eV/atom: 0.739
# Size of the total moment in μB per formula unit: 0.0
# Energy relative to the lowest polymorph listed for this composition in meV per atom: 0.0
# E_form (uncorrected) in eV/f.u.: 1.587



[3]
# CaSb2Pb, relaxed, DFT GGA-PBE
data_CaSb2Pb
_cell_length_a 3.638
_cell_length_b 3.638
_cell_length_c 8.940
_cell_angle_alpha 90.00
_cell_angle_beta 90.00
_cell_angle_gamma 90.00
_symmetry_space_group_name_H-M 'P 4/m m m'
_symmetry_Int_Tables_number 123
_symmetry_space_group_name_Hall '-P 4 2'
loop_
_atom_site_label
_atom_site_type_symbol
_atom_site_fract_x
_atom_site_fract_y
_atom_site_fract_z
_atom_site_occupancy
Ca1 Ca 0.000 0.000 0.000 1
Sb1 Sb 0.500 0.500 0.241 1
Pb1 Pb 0.000 0.000 0.500 1
# Total DFT energy (no corrections) in eV per cell: -15.167
# DOS(E_F) in states/eV/atom: 0.661
# Size of the total moment in μB per formula unit: 0.0
# E_form (uncorrected) in eV/f.u.: -1.213